Record 1
{"formula": "KTi2MnCu", "functional": "meta-GGA SCAN", "state": "PBEsol geometry", "cell": [[4.717, 0.000, 0.000], [0.000, 4.717, 0.000], [0.000, 0.000, 5.416]], "species": ["K", "Ti", "Ti", "Mn", "Cu"], "frac_coords": [[0.000, 0.000, 0.000], [0.000, 0.500, 0.500], [0.500, 0.000, 0.500], [0.500, 0.500, 0.000], [0.000, 0.000, 0.500]], "dos_ef_per_ev_fu": 4.2, "delta_e_f_ev_per_atom": 1.0531, "sg": "P4/mmm, No. 123"}


Record 2
{"formula": "LiReAg2", "functional": "meta-GGA SCAN", "state": "PBEsol geometry", "cell": [[2.953, -3.961, 0.000], [2.953, 3.961, 0.000], [0.000, 0.000, 2.622]], "species": ["Li", "Re", "Ag", "Ag"], "frac_coords": [[0.000, 0.000, 0.000], [0.500, 0.500, 0.000], [0.000, 0.500, 0.500], [0.500, 0.000, 0.500]], "dos_ef_per_ev_fu": 1.1, "delta_e_f_ev_per_atom": 0.3463, "polymorph_energy_mev_per_atom": 10, "sg": "Cmmm, No. 65"}


Record 3
{"formula": "Zn4As2O9", "functional": "meta-GGA SCAN", "state": "PBEsol geometry", "cell": [[9.760, 0.000, 0.000], [0.000, 8.227, 0.000], [-5.406, 0.000, 8.995]], "species": ["Zn", "Zn", "Zn", "Zn", "Zn", "Zn", "Zn", "Zn", "Zn", "Zn", "Zn", "Zn", "Zn", "Zn", "Zn", "Zn", "As", "As", "As", "As", "As", "As", "As", "As", "O", "O", "O", "O", "O", "O", "O", "O", "O", "O", "O", "O", "O", "O", "O", "O", "O", "O", "O", "O", "O", "O", "O", "O", "O", "O", "O", "O", "O", "O", "O", "O", "O", "O", "O", "O"], "frac_coords": [[0.014, 0.194, 0.004], [0.014, 0.306, 0.504], [0.293, 0.745, 0.956], [0.293, 0.755, 0.456], [0.348, 0.181, 0.525], [0.348, 0.319, 0.025], [0.400, 0.021, 0.846], [0.400, 0.479, 0.346], [0.600, 0.521, 0.654], [0.600, 0.979, 0.154], [0.652, 0.681, 0.975], [0.652, 0.819, 0.475], [0.707, 0.245, 0.544], [0.707, 0.255, 0.044], [0.986, 0.694, 0.496], [0.986, 0.806, 0.996], [0.001, 0.017, 0.285], [0.001, 0.483, 0.785], [0.338, 0.506, 0.733], [0.338, 0.994, 0.233], [0.662, 0.006, 0.767], [0.662, 0.494, 0.267], [0.999, 0.517, 0.215], [0.999, 0.983, 0.715], [0.026, 0.001, 0.136], [0.026, 0.499, 0.636], [0.055, 0.660, 0.885], [0.055, 0.840, 0.385], [0.107, 0.173, 0.406], [0.107, 0.327, 0.906], [0.194, 0.573, 0.286], [0.194, 0.927, 0.786], [0.256, 0.667, 0.614], [0.256, 0.833, 0.114], [0.276, 0.182, 0.153], [0.276, 0.318, 0.653], [0.324, 0.525, 0.889], [0.324, 0.975, 0.389], [0.455, 0.017, 0.694], [0.455, 0.483, 0.194], [0.495, 0.173, 0.009], [0.495, 0.327, 0.509], [0.505, 0.673, 0.491], [0.505, 0.827, 0.991], [0.545, 0.517, 0.806], [0.545, 0.983, 0.306], [0.676, 0.025, 0.611], [0.676, 0.475, 0.111], [0.724, 0.682, 0.347], [0.724, 0.818, 0.847], [0.744, 0.167, 0.886], [0.744, 0.333, 0.386], [0.806, 0.073, 0.214], [0.806, 0.427, 0.714], [0.893, 0.673, 0.094], [0.893, 0.827, 0.594], [0.945, 0.160, 0.615], [0.945, 0.340, 0.115], [0.974, 0.501, 0.364], [0.974, 0.999, 0.864]], "dos_ef_per_ev_fu": 0.0, "sg": "P2_1/c, No. 14", "formation_energy_uncorrected_ev_per_fu": -22.84}